Entry 1:
Here is crystalline BaCa2Se at its relaxed geometry from the Alexandria database. Energies are from PBE-GGA.

Summary:
Its space group is R-3m, No. 166. As for the energy: -13.006 eV per cell.

The structure in POSCAR format:
```
BaCa2Se
1.0
10.950 0.006 0.003
10.163 4.077 0.003
10.163 1.965 3.572
Ca Ba Se
2 1 1
direct
0.972 0.972 0.972 Ca
0.528 0.528 0.528 Ca
0.750 0.750 0.750 Ba
0.250 0.250 0.250 Se
```

Entry 2:
Here is crystalline BaCa2Se at its relaxed geometry from the Alexandria database. Energies are from PBE-GGA.

Summary:
Its space group is I-42d, No. 122. As for the energy: -24.589 eV per cell.

The structure in POSCAR format:
```
BaCa2Se
1.0
9.911 0.000 0.000
0.000 9.911 0.000
4.956 4.956 3.415
Ca Ba Se
4 2 2
direct
0.522 0.125 0.250 Ca
0.228 0.625 0.250 Ca
0.375 0.478 0.750 Ca
0.875 0.772 0.750 Ca
0.000 0.000 0.000 Ba
0.750 0.250 0.500 Ba
0.500 0.500 0.000 Se
0.250 0.750 0.500 Se
```

Entry 3:
Here is crystalline BaCaSe at its relaxed geometry from the Alexandria database. Energies are from PBE-GGA.

Summary:
Its space group is F-43m, No. 216. The relative energy among the computed polymorphs comes out at 267 meV/atom.

The structure in POSCAR format:
```
BaCaSe
1.0
-1.455 2.315 4.573
2.861 -0.805 4.422
2.932 3.957 2.033
Ca Ba Se
1 1 1
direct
0.500 0.500 0.500 Ca
0.000 0.000 0.000 Ba
0.750 0.750 0.750 Se
```

Entry 4:
Here is crystalline BaCa2Se at its relaxed geometry from the Alexandria database. Energies are from PBE-GGA.

Summary:
Its space group is I-4m2, No. 119. As for the energy: -11.366 eV per cell.

The structure in POSCAR format:
```
BaCa2Se
1.0
6.836 0.003 0.000
3.238 6.020 0.000
-5.037 -3.012 3.505
Ca Ba Se
2 1 1
direct
0.000 0.000 0.000 Ca
0.250 0.750 0.500 Ca
0.750 0.250 0.500 Ba
0.500 0.500 0.000 Se
```

Entry 5:
Here is crystalline Ba2CaSe at its relaxed geometry from the Alexandria database. Energies are from PBE-GGA.

Summary:
Its space group is P2/m, No. 10. As for the energy: -12.672 eV per cell.

The structure in POSCAR format:
```
Ba2CaSe
1.0
-1.642 3.270 1.762
-2.915 -2.329 1.604
3.136 -3.929 10.211
Ca Ba Se
1 2 1
direct
0.500 0.250 0.250 Ca
0.000 0.070 0.930 Ba
0.000 0.430 0.570 Ba
0.500 0.750 0.750 Se
```

Entry 6:
Here is crystalline Ba2CaSe at its relaxed geometry from the Alexandria database. Energies are from PBE-GGA.

Summary:
Its space group is I-4m2, No. 119. As for the energy: -11.521 eV per cell.

The structure in POSCAR format:
```
Ba2CaSe
1.0
7.529 0.002 0.000
4.182 6.261 0.000
-5.856 -3.132 3.549
Ca Ba Se
1 2 1
direct
0.500 0.500 0.000 Ca
0.000 0.000 0.000 Ba
0.250 0.750 0.500 Ba
0.750 0.250 0.500 Se
```